This record from Alexandria via LeMat-Bulk describes Mg2ZnCd after structural relaxation. The functional is PBE.

Cell and atoms, written as POSCAR:
```
Mg2ZnCd
1.0
3.257 0.000 0.000
0.000 3.564 0.000
-0.123 0.000 6.833
Mg Zn Cd
2 1 1
direct
0.000 0.000 0.232
0.000 0.000 0.768
0.500 0.500 0.000
0.500 0.500 0.500
```

Spin magnetization   0.000 μB per atom
Space group   P2/m, No. 10
ΔH_f (0 K)   -0.0882 eV per atom
Raw total energy   -1.433 eV per atom
D(E_F)   0.99 states/eV/cell